Computed, not measured: an optimized crystal structure of RuS3O9 at the GGA-PBE level of DFT.

## Properties
Formation energy without anion corrections, eV/atom: -0.9817
Spin magnetization, Bohr magnetons per cell: 0.226

Unit cell a=13.149 b=7.754 c=9.468 alpha=90.00 beta=129.74 gamma=90.00
Space group Cc (No. 9)
One atom of each set of equivalent atoms:
Ru: 0.000 0.235 0.000 x4
S: 0.155 0.046 0.865 x4
S: 0.297 0.440 0.266 x4
S: 0.403 0.076 0.711 x4
O: 0.040 0.073 0.857 x4
O: 0.115 0.054 0.205 x4
O: 0.165 0.372 0.101 x4
O: 0.235 0.191 0.902 x4
O: 0.244 0.099 0.535 x4
O: 0.336 0.394 0.452 x4
O: 0.406 0.099 0.273 x4
O: 0.433 0.218 0.828 x4
O: 0.471 0.075 0.631 x4